[1]
# GaCuSi

Crystalline GaCuSi at its relaxed geometry (PBE, Alexandria via LeMat-Bulk).

Values from the calculation:
- crystal system = triclinic
- uncorrected formation energy (eV/atom) = 0.085
- DOS(E_F) (states/eV per atom) = 0.290

The structure in CIF format:
```
data_GaCuSi
_chemical_formula_sum 'Ga2 Cu2 Si2'
_cell_length_a 3.8504
_cell_length_b 4.5522
_cell_length_c 6.1954
_cell_angle_alpha 80.21
_cell_angle_beta 71.90
_cell_angle_gamma 65.06
_space_group_name_H-M_alt 'P 1'
_space_group_IT_number 1
loop_
_space_group_symop_operation_xyz
'x,y,z'
loop_
_atom_site_label
_atom_site_type_symbol
_atom_site_fract_x
_atom_site_fract_y
_atom_site_fract_z
_atom_site_occupancy
Ga1 Ga 0.0000 0.0000 0.0000 1
Ga2 Ga 0.4439 0.4365 0.6745 1
Cu1 Cu 0.4216 0.8370 0.3173 1
Cu2 Cu 0.7383 0.5833 0.9388 1
Si1 Si 0.1723 0.4316 0.2208 1
Si2 Si 0.7849 0.8633 0.5644 1
```

[2]
# HoEr2Se

Crystalline HoEr2Se at its relaxed geometry (PBE, Alexandria via LeMat-Bulk).

Values from the calculation:
- crystal system = tetragonal
- uncorrected formation energy (eV/atom) = -0.673
- DOS(E_F) (states/eV per atom) = 1.048

The structure in CIF format:
```
data_HoEr2Se
_chemical_formula_sum 'Ho1 Er2 Se1'
_cell_length_a 3.5765
_cell_length_b 3.5765
_cell_length_c 8.4044
_cell_angle_alpha 90.00
_cell_angle_beta 90.00
_cell_angle_gamma 90.00
_space_group_name_H-M_alt 'P 4/m m m'
_space_group_IT_number 123
_space_group_name_Hall '-P 4 2'
loop_
_atom_site_label
_atom_site_type_symbol
_atom_site_fract_x
_atom_site_fract_y
_atom_site_fract_z
_atom_site_occupancy
Ho1 Ho 0.0000 0.0000 0.0000 1
Er1 Er 0.5000 0.5000 0.2898 1
Se1 Se 0.0000 0.0000 0.5000 1
```

[3]
# NaSeO2

Crystalline NaSeO2 at its relaxed geometry (PBE, Alexandria via LeMat-Bulk).

Values from the calculation:
- crystal system = tetragonal
- uncorrected formation energy (eV/atom) = -0.657
- DOS(E_F) (states/eV per atom) = 0.278

The structure in CIF format:
```
data_NaSeO2
_chemical_formula_sum 'Na4 Se4 O8'
_cell_length_a 4.7773
_cell_length_b 4.7773
_cell_length_c 11.3313
_cell_angle_alpha 90.00
_cell_angle_beta 90.00
_cell_angle_gamma 90.00
_space_group_name_H-M_alt 'I -4 2 d'
_space_group_IT_number 122
_space_group_name_Hall 'I -4 2bw'
loop_
_atom_site_label
_atom_site_type_symbol
_atom_site_fract_x
_atom_site_fract_y
_atom_site_fract_z
_atom_site_occupancy
Na1 Na 0.0000 0.0000 0.0000 1
Se1 Se 0.0000 0.0000 0.5000 1
O1 O 0.1848 0.2500 0.6250 1
```

[4]
# TmB12C3

Crystalline TmB12C3 at its relaxed geometry (PBE, Alexandria via LeMat-Bulk).

Values from the calculation:
- crystal system = trigonal
- ΔE_f (kJ/mol of formula units) = 827
- DOS(E_F) (states/eV per atom) = 0.194

The structure in CIF format:
```
data_TmB12C3
_chemical_formula_sum 'Tm6 B72 C18'
_cell_length_a 11.0071
_cell_length_b 11.0071
_cell_length_c 8.8039
_cell_angle_alpha 90.00
_cell_angle_beta 90.00
_cell_angle_gamma 120.00
_space_group_name_H-M_alt 'R 3 c'
_space_group_IT_number 161
_space_group_name_Hall 'R 3 -2"c'
loop_
_atom_site_label
_atom_site_type_symbol
_atom_site_fract_x
_atom_site_fract_y
_atom_site_fract_z
_atom_site_occupancy
Tm1 Tm 0.0000 0.0000 0.0000 1
B1 B 0.0489 0.4967 0.0177 1
B2 B 0.0568 0.2297 0.6888 1
B3 B 0.0754 0.5019 0.6950 1
B4 B 0.1436 0.3989 0.7263 1
C1 C 0.0152 0.3455 0.0231 1
```

[5]
# V2HBr6

Crystalline V2HBr6 at its relaxed geometry (PBE, Alexandria via LeMat-Bulk).

Values from the calculation:
- crystal system = monoclinic
- VASP energy (eV for the cell shown) = -151.017
- DOS(E_F) (states/eV per atom) = 0.907

The structure in CIF format:
```
data_V2HBr6
_chemical_formula_sum 'V8 H4 Br24'
_cell_length_a 12.7264
_cell_length_b 11.5410
_cell_length_c 6.6438
_cell_angle_alpha 90.00
_cell_angle_beta 92.09
_cell_angle_gamma 90.00
_space_group_name_H-M_alt 'C 1 2/c 1'
_space_group_IT_number 15
loop_
_space_group_symop_operation_xyz
'x,y,z'
'-x,-y,-z'
'-x,y,-z+1/2'
'x,-y,z+1/2'
'x+1/2,y+1/2,z'
'-x+1/2,-y+1/2,-z'
'-x+1/2,y+1/2,-z+1/2'
'x+1/2,-y+1/2,z+1/2'
loop_
_atom_site_label
_atom_site_type_symbol
_atom_site_fract_x
_atom_site_fract_y
_atom_site_fract_z
_atom_site_occupancy
V1 V 0.2459 0.0897 0.0119 1
H1 H 0.0000 0.0598 0.7500 1
Br1 Br 0.1256 0.0806 0.6652 1
Br2 Br 0.1325 0.2556 0.1270 1
Br3 Br 0.1493 0.4303 0.6603 1
```

[6]
# Dy5Ga2Sb

Crystalline Dy5Ga2Sb at its relaxed geometry (PBE, Alexandria via LeMat-Bulk).

Values from the calculation:
- crystal system = tetragonal
- uncorrected formation energy (eV/atom) = -0.645
- DOS(E_F) (states/eV per atom) = 0.865

The structure in CIF format:
```
data_Dy5Ga2Sb
_chemical_formula_sum 'Dy20 Ga8 Sb4'
_cell_length_a 8.1376
_cell_length_b 8.1376
_cell_length_c 12.7263
_cell_angle_alpha 90.00
_cell_angle_beta 90.00
_cell_angle_gamma 90.00
_space_group_name_H-M_alt 'I 4/m c m'
_space_group_IT_number 140
_space_group_name_Hall '-I 4 2c'
loop_
_atom_site_label
_atom_site_type_symbol
_atom_site_fract_x
_atom_site_fract_y
_atom_site_fract_z
_atom_site_occupancy
Dy1 Dy 0.0000 0.0000 0.0000 1
Dy2 Dy 0.1546 0.3454 0.1432 1
Ga1 Ga 0.1463 0.3537 0.5000 1
Sb1 Sb 0.0000 0.0000 0.2500 1
```

[7]
# YBr2

Crystalline YBr2 at its relaxed geometry (PBE, Alexandria via LeMat-Bulk).

Values from the calculation:
- crystal system = hexagonal
- uncorrected formation energy (eV/atom) = -1.134
- DOS(E_F) (states/eV per atom) = 0.569

The structure in CIF format:
```
data_YBr2
_chemical_formula_sum 'Y2 Br4'
_cell_length_a 5.1454
_cell_length_b 5.1454
_cell_length_c 6.6814
_cell_angle_alpha 90.00
_cell_angle_beta 90.00
_cell_angle_gamma 120.00
_space_group_name_H-M_alt 'P 63/m m c'
_space_group_IT_number 194
_space_group_name_Hall '-P 6c 2c'
loop_
_atom_site_label
_atom_site_type_symbol
_atom_site_fract_x
_atom_site_fract_y
_atom_site_fract_z
_atom_site_occupancy
Y1 Y 0.3333 0.6667 0.2500 1
Br1 Br 0.0000 0.0000 0.0000 1
Br2 Br 0.3333 0.6667 0.7500 1
```

[8]
# La2Cu3Si5

Crystalline La2Cu3Si5 at its relaxed geometry (PBE, Alexandria via LeMat-Bulk).

Values from the calculation:
- crystal system = monoclinic
- uncorrected formation energy (eV/atom) = -0.497
- DOS(E_F) (states/eV per atom) = 0.268

The structure in CIF format:
```
data_La2Cu3Si5
_chemical_formula_sum 'La8 Cu12 Si20'
_cell_length_a 11.4798
_cell_length_b 11.9111
_cell_length_c 5.9623
_cell_angle_alpha 90.00
_cell_angle_beta 121.21
_cell_angle_gamma 90.00
_space_group_name_H-M_alt 'C 1 2/c 1'
_space_group_IT_number 15
loop_
_space_group_symop_operation_xyz
'x,y,z'
'-x,-y,-z'
'-x,y,-z+1/2'
'x,-y,z+1/2'
'x+1/2,y+1/2,z'
'-x+1/2,-y+1/2,-z'
'-x+1/2,y+1/2,-z+1/2'
'x+1/2,-y+1/2,z+1/2'
loop_
_atom_site_label
_atom_site_type_symbol
_atom_site_fract_x
_atom_site_fract_y
_atom_site_fract_z
_atom_site_occupancy
La1 La 0.2439 0.1244 0.2433 1
Cu1 Cu 0.0000 0.4980 0.7500 1
Cu2 Cu 0.1201 0.1315 0.6212 1
Si1 Si 0.0000 0.0010 0.2500 1
Si2 Si 0.0000 0.2581 0.2500 1
Si3 Si 0.0000 0.2601 0.7500 1
Si4 Si 0.1365 0.3823 0.1388 1
```

[9]
# Al2Pd2Pt

Crystalline Al2Pd2Pt at its relaxed geometry (PBE, Alexandria via LeMat-Bulk).

Values from the calculation:
- crystal system = tetragonal
- ΔE_f (kJ/mol of formula units) = -348
- DOS(E_F) (states/eV per atom) = 0.324

The structure in CIF format:
```
data_Al2Pd2Pt
_chemical_formula_sum 'Al4 Pd4 Pt2'
_cell_length_a 7.2853
_cell_length_b 7.2853
_cell_length_c 2.8401
_cell_angle_alpha 90.00
_cell_angle_beta 90.00
_cell_angle_gamma 90.00
_space_group_name_H-M_alt 'P 4/m b m'
_space_group_IT_number 127
_space_group_name_Hall '-P 4 2ab'
loop_
_atom_site_label
_atom_site_type_symbol
_atom_site_fract_x
_atom_site_fract_y
_atom_site_fract_z
_atom_site_occupancy
Al1 Al 0.1675 0.3325 0.0000 1
Pd1 Pd 0.1330 0.6330 0.5000 1
Pt1 Pt 0.0000 0.0000 0.5000 1
```

[10]
# Y2AgBi2

Crystalline Y2AgBi2 at its relaxed geometry (PBE, Alexandria via LeMat-Bulk).

Values from the calculation:
- crystal system = tetragonal
- ΔE_f (kJ/mol of formula units) = -204
- DOS(E_F) (states/eV per atom) = 0.989

The structure in CIF format:
```
data_Y2AgBi2
_chemical_formula_sum 'Y4 Ag2 Bi4'
_cell_length_a 8.2304
_cell_length_b 8.2304
_cell_length_c 4.3182
_cell_angle_alpha 90.00
_cell_angle_beta 90.00
_cell_angle_gamma 90.00
_space_group_name_H-M_alt 'P 4/m b m'
_space_group_IT_number 127
_space_group_name_Hall '-P 4 2ab'
loop_
_atom_site_label
_atom_site_type_symbol
_atom_site_fract_x
_atom_site_fract_y
_atom_site_fract_z
_atom_site_occupancy
Y1 Y 0.1532 0.3468 0.0000 1
Ag1 Ag 0.0000 0.0000 0.0000 1
Bi1 Bi 0.1564 0.6564 0.5000 1
```

[11]
# SrCaCuSi

Crystalline SrCaCuSi at its relaxed geometry (PBE, Alexandria via LeMat-Bulk).

Values from the calculation:
- crystal system = cubic
- uncorrected formation energy (eV/atom) = -0.165
- DOS(E_F) (states/eV per atom) = 0.585

The structure in CIF format:
```
data_SrCaCuSi
_chemical_formula_sum 'Sr4 Ca4 Cu4 Si4'
_cell_length_a 7.3513
_cell_length_b 7.3513
_cell_length_c 7.3513
_cell_angle_alpha 90.00
_cell_angle_beta 90.00
_cell_angle_gamma 90.00
_space_group_name_H-M_alt 'F -4 3 m'
_space_group_IT_number 216
_space_group_name_Hall 'F -4 2 3'
loop_
_atom_site_label
_atom_site_type_symbol
_atom_site_fract_x
_atom_site_fract_y
_atom_site_fract_z
_atom_site_occupancy
Sr1 Sr 0.0000 0.0000 0.0000 1
Ca1 Ca 0.0000 0.0000 0.5000 1
Cu1 Cu 0.2500 0.2500 0.2500 1
Si1 Si 0.2500 0.2500 0.7500 1
```

[12]
# V2ZnRePt

Crystalline V2ZnRePt at its relaxed geometry (PBE, Alexandria via LeMat-Bulk).

Values from the calculation:
- crystal system = tetragonal
- ΔE_f (kJ/mol of formula units) = 711
- DOS(E_F) (states/eV per atom) = 1.305

The structure in CIF format:
```
data_V2ZnRePt
_chemical_formula_sum 'V2 Zn1 Re1 Pt1'
_cell_length_a 4.6102
_cell_length_b 4.6102
_cell_length_c 4.7997
_cell_angle_alpha 90.00
_cell_angle_beta 90.00
_cell_angle_gamma 90.00
_space_group_name_H-M_alt 'P 4/m m m'
_space_group_IT_number 123
_space_group_name_Hall '-P 4 2'
loop_
_atom_site_label
_atom_site_type_symbol
_atom_site_fract_x
_atom_site_fract_y
_atom_site_fract_z
_atom_site_occupancy
V1 V 0.0000 0.5000 0.0000 1
Zn1 Zn 0.0000 0.0000 0.5000 1
Re1 Re 0.5000 0.5000 0.5000 1
Pt1 Pt 0.5000 0.5000 0.0000 1
```